a.
{
  "formula": "Al2PtI",
  "functional": "GGA-PBE",
  "state": "relaxed",
  "magnetic_moment_mub_per_atom": 0.00,
  "spacegroup": "Fm-3m (225)",
  "lattice_angstrom": [[6.8486, 0.0000, 0.0000], [0.0000, 6.8486, 0.0000], [0.0000, 0.0000, 6.8486]],
  "species": ["Al", "Al", "Al", "Al", "Al", "Al", "Al", "Al", "Pt", "Pt", "Pt", "Pt", "I", "I", "I", "I"],
  "fractional_positions": [[0.2500, 0.2500, 0.2500], [0.2500, 0.2500, 0.7500], [0.2500, 0.7500, 0.2500], [0.2500, 0.7500, 0.7500], [0.7500, 0.2500, 0.2500], [0.7500, 0.2500, 0.7500], [0.7500, 0.7500, 0.2500], [0.7500, 0.7500, 0.7500], [0.0000, 0.0000, 0.0000], [0.0000, 0.5000, 0.5000], [0.5000, 0.0000, 0.5000], [0.5000, 0.5000, 0.0000], [0.0000, 0.0000, 0.5000], [0.0000, 0.5000, 0.0000], [0.5000, 0.0000, 0.0000], [0.5000, 0.5000, 0.5000]]
}

***

b.
{
  "formula": "Al2PtI",
  "functional": "GGA-PBE",
  "state": "relaxed",
  "magnetic_moment_mub_per_atom": 0.00,
  "spacegroup": "I-42d (122)",
  "lattice_angstrom": [[6.1796, 0.0000, 0.0000], [0.0000, 6.1796, 0.0000], [0.0000, 0.0000, 12.3227]],
  "species": ["Al", "Al", "Al", "Al", "Al", "Al", "Al", "Al", "Pt", "Pt", "Pt", "Pt", "I", "I", "I", "I"],
  "fractional_positions": [[0.1548, 0.2500, 0.1250], [0.2500, 0.6548, 0.3750], [0.2500, 0.8452, 0.8750], [0.3452, 0.2500, 0.6250], [0.6548, 0.7500, 0.6250], [0.7500, 0.1548, 0.8750], [0.7500, 0.3452, 0.3750], [0.8452, 0.7500, 0.1250], [0.0000, 0.0000, 0.0000], [0.0000, 0.5000, 0.2500], [0.5000, 0.0000, 0.7500], [0.5000, 0.5000, 0.5000], [0.0000, 0.0000, 0.5000], [0.0000, 0.5000, 0.7500], [0.5000, 0.0000, 0.2500], [0.5000, 0.5000, 0.0000]]
}

***

Computed energies relative to the best structure, in meV per atom: a 590; b 0